# GGA+U HoCr2GaO6, optimized geometry
# Energy = -7.531 eV per atom
# Calculated volume = 11.10 Å³ per atom
# DOS(E_F) = 0.00 states/eV per atom
# Total magnetic moment = 6.00 μB/f.u.
data_HoCr2GaO6
_symmetry_space_group_name_H-M 'R 3'
_symmetry_Int_Tables_number 146
_symmetry_space_group_name_Hall 'R 3'
_cell_length_a 5.2599
_cell_length_b 5.2599
_cell_length_c 13.8948
_cell_angle_alpha 90.00
_cell_angle_beta 90.00
_cell_angle_gamma 120.00
loop_
_atom_site_label
_atom_site_fract_x
_atom_site_fract_y
_atom_site_fract_z
Ho1 0.0000 0.0000 0.0000
Cr1 0.0000 0.0000 0.2165
Cr2 0.0000 0.0000 0.7207
Ga1 0.0000 0.0000 0.5149
O1 0.0261 0.3506 0.7922
O2 0.0729 0.7126 0.2868